The following is a GGA-PBE calculation of Tb4PrCo after structural relaxation, from Alexandria via LeMat-Bulk.

Unit cell a=6.257 b=6.257 c=8.453 alpha=109.61 beta=109.61 gamma=33.33
Sites, in units of the cell vectors:
Tb1 0.124 0.124 0.383
Tb2 0.172 0.172 0.794
Tb3 0.828 0.828 0.206
Tb4 0.876 0.876 0.617
Pr1 0.500 0.500 0.000
Co1 0.500 0.500 0.500

Calculated values
Total energy: -5.089 eV per atom
DFT formation energy: -0.021 eV per atom
Mass density: 8.145 g/cm3